# 1
Here is a geometry-optimized Tb5Tm5Th2 structure from Alexandria. Energies are from PBE.

Properties
- DFT formation energy (eV/atom) = 0.028

Cell: 6.1090 7.9319 8.6639 Å, 68.40 89.43 74.93°
Space group P-1 (No. 2)
One atom of each set of equivalent atoms:
Tb: 0.0000 0.0000 0.0000 x1
Tb: 0.0890 0.2457 0.5810 x2
Tb: 0.1699 0.4958 0.1660 x2
Tm: 0.2532 0.7521 0.7463 x2
Tm: 0.4180 0.2480 0.9177 x2
Tm: 0.5000 0.5000 0.5000 x1
Th: 0.3377 0.9980 0.3331 x2

=====

# 2
Here is a geometry-optimized NpHg3Te2Cl6 structure from Alexandria. Energies are from PBE.

Properties
- E_form (uncorrected) (eV/f.u.) = -11.06

Cell: 16.1258 7.8736 6.9722 Å, 90.00 113.59 90.00°
Space group C2/m (No. 12)
One atom of each set of equivalent atoms:
Np: 0.0000 0.0000 0.0000 x2
Hg: 0.0000 0.5000 0.5000 x2
Hg: 0.2500 0.2500 0.5000 x4
Te: 0.1860 0.5000 0.6796 x4
Cl: 0.0874 0.0000 0.4103 x4
Cl: 0.1085 0.2384 0.9798 x8